# 1
The following is a DFT calculation (PBE) of a relaxed structure of YNbAlCo2.

Calculated values
Volume, Å³/cell: 101.5
Mass density, g/cm³: 5.35
DOS(E_F), states/eV/atom: 0.926
Calculated formation energy, eV/f.u.: 7.93

abc: 4.4311 5.1685 4.4311
angles: 90.00 90.00 90.00
Last column: magnetic moment on the atom in μB.
Atoms (fractional coordinates):
Y 0.0000 0.0000 0.0000  -0.15
Nb 0.5000 0.5000 0.5000  0.27
Co 0.5000 0.0000 0.0000  1.03
Co 0.0000 0.0000 0.5000  0.94
Al 0.0000 0.5000 0.0000  -0.01

---

# 2
The following is a DFT calculation (PBE) of a relaxed structure of La2ReW.

Calculated values
Volume, Å³/cell: 100.5
Mass density, g/cm³: 10.70
DOS(E_F), states/eV/atom: 1.034
Calculated formation energy, eV/f.u.: 1.51

abc: 6.2709 6.2709 6.2709
angles: 147.26 130.48 60.64
Atoms (fractional coordinates):
La 0.7304 0.2304 0.5000
W 0.3002 0.8002 0.5000
La 0.0113 0.0113 0.0000
Re 0.4580 0.4580 0.0000

---

# 3
The following is a DFT calculation (PBE) of a relaxed structure of Al2PbSe.

Calculated values
Volume, Å³/cell: 88.9
Mass density, g/cm³: 6.35
DOS(E_F), states/eV/atom: 0.471
E_form (uncorrected), eV per atom: 0.24

abc: 5.0094 5.0094 5.0094
angles: 60.00 60.00 60.00
Atoms (fractional coordinates):
Se 0.0000 0.0000 0.0000
Al 0.2500 0.2500 0.2500
Al 0.7500 0.7500 0.7500
Pb 0.5000 0.5000 0.5000

---

# 4
The following is a DFT calculation (PBE) of a relaxed structure of NbIrN2F.

Calculated values
Volume, Å³/cell: 62.2
Mass density, g/cm³: 8.87
DOS(E_F), states/eV/atom: 1.027
E_form (uncorrected), eV per atom: 0.76

abc: 3.8951 3.8951 4.0986
angles: 90.00 90.00 90.00
Atoms (fractional coordinates):
N 0.5000 0.0000 0.0000
Ir 0.0000 0.0000 0.0000
Nb 0.5000 0.5000 0.5000
F 0.0000 0.0000 0.5000
N 0.0000 0.5000 0.0000